Material: HgRhO2
Method: DFT, GGA-PBE
State: optimized geometry

Output
Formation energy (no corrections) = -0.138 eV/atom
Space group = I-42d (122)
Electronic total energy = -4.5305 eV/atom
Theoretical density = 8.0 g/cm3
Density of states at the Fermi level = 3.403 states/eV/cell

abc: 5.706 5.706 5.706
angles: 115.46 115.46 98.06
Sites, in units of the cell vectors:
Hg (0.000, 0.000, 0.000)
Hg (0.750, 0.250, 0.500)
Rh (0.250, 0.750, 0.500)
Rh (0.500, 0.500, 0.000)
O (0.253, 0.625, 0.128)
O (0.375, 0.503, 0.628)
O (0.497, 0.125, 0.872)
O (0.875, 0.747, 0.372)